# TaVOs4 (PBE, relaxed)
data_TaVOs4
_cell_length_a 4.214
_cell_length_b 18.165
_cell_length_c 5.293
_cell_angle_alpha 90.00
_cell_angle_beta 90.00
_cell_angle_gamma 90.00
_symmetry_space_group_name_H-M 'C m c 21'
_symmetry_Int_Tables_number 36
loop_
_symmetry_equiv_pos_as_xyz
'x,y,z'
'-x,-y,z+1/2'
'-x,y,z'
'x,-y,z+1/2'
'x+1/2,y+1/2,z'
'-x+1/2,-y+1/2,z+1/2'
'-x+1/2,y+1/2,z'
'x+1/2,-y+1/2,z+1/2'
loop_
_atom_site_label
_atom_site_type_symbol
_atom_site_fract_x
_atom_site_fract_y
_atom_site_fract_z
Ta1 Ta 0.000 0.057 0.000
V1 V 0.000 0.359 0.833
Os1 Os 0.000 0.085 0.499
Os2 Os 0.000 0.203 0.112
Os3 Os 0.000 0.223 0.598
Os4 Os 0.000 0.348 0.331
# ΔH_f (0 K) = 0.321 eV per atom
# electronic total energy = -10.661 eV/atom

---

# TaVOs5 (PBE, relaxed)
data_TaVOs5
_cell_length_a 6.771
_cell_length_b 7.363
_cell_length_c 9.191
_cell_angle_alpha 90.00
_cell_angle_beta 111.48
_cell_angle_gamma 90.00
_symmetry_space_group_name_H-M 'C 1 2/c 1'
_symmetry_Int_Tables_number 15
loop_
_symmetry_equiv_pos_as_xyz
'x,y,z'
'-x,-y,-z'
'-x,y,-z+1/2'
'x,-y,z+1/2'
'x+1/2,y+1/2,z'
'-x+1/2,-y+1/2,-z'
'-x+1/2,y+1/2,-z+1/2'
'x+1/2,-y+1/2,z+1/2'
loop_
_atom_site_label
_atom_site_type_symbol
_atom_site_fract_x
_atom_site_fract_y
_atom_site_fract_z
Ta1 Ta 0.250 0.250 0.000
V1 V 0.000 0.249 0.250
Os1 Os 0.000 0.089 0.750
Os2 Os 0.114 0.447 0.659
Os3 Os 0.182 0.103 0.545
# ΔH_f (0 K) = 0.140 eV per atom
# electronic total energy = -10.877 eV/atom

---

# TaVOs (PBE, relaxed)
data_TaVOs
_cell_length_a 4.3432
_cell_length_b 4.3432
_cell_length_c 2.8008
_cell_angle_alpha 90.00
_cell_angle_beta 90.00
_cell_angle_gamma 120.00
_symmetry_space_group_name_H-M 'P 3 m 1'
_symmetry_Int_Tables_number 156
loop_
_symmetry_equiv_pos_as_xyz
'x,y,z'
'-y,x-y,z'
'-x+y,-x,z'
'-y,-x,z'
'-x+y,y,z'
'x,x-y,z'
loop_
_atom_site_label
_atom_site_type_symbol
_atom_site_fract_x
_atom_site_fract_y
_atom_site_fract_z
Ta1 Ta 0.0000 0.0000 0.0000
V1 V 0.3333 0.6667 0.3377
Os1 Os 0.6667 0.3333 0.6578
# ΔH_f (0 K) = -0.216 eV per atom
# electronic total energy = -10.950 eV/atom
# energy above the lowest structure with this stoichiometry = 0.274 eV per formula unit

---

# TaV2Os2 (PBE, relaxed)
data_TaV2Os2
_cell_length_a 7.273
_cell_length_b 7.273
_cell_length_c 2.881
_cell_angle_alpha 90.00
_cell_angle_beta 90.00
_cell_angle_gamma 90.00
_symmetry_space_group_name_H-M 'P 4/m b m'
_symmetry_Int_Tables_number 127
_symmetry_space_group_name_Hall '-P 4 2ab'
loop_
_atom_site_label
_atom_site_type_symbol
_atom_site_fract_x
_atom_site_fract_y
_atom_site_fract_z
Ta1 Ta 0.000 0.000 0.000
V1 V 0.157 0.343 0.500
Os1 Os 0.141 0.641 0.000
# ΔH_f (0 K) = -0.012 eV per atom
# electronic total energy = -10.522 eV/atom
# energy above the lowest structure with this stoichiometry = 0.175 eV per formula unit

---

# TaVOs2 (PBE, relaxed)
data_TaVOs2
_cell_length_a 4.383
_cell_length_b 4.383
_cell_length_c 3.156
_cell_angle_alpha 90.00
_cell_angle_beta 90.00
_cell_angle_gamma 90.00
_symmetry_space_group_name_H-M 'P 4/m m m'
_symmetry_Int_Tables_number 123
_symmetry_space_group_name_Hall '-P 4 2'
loop_
_atom_site_label
_atom_site_type_symbol
_atom_site_fract_x
_atom_site_fract_y
_atom_site_fract_z
Ta1 Ta 0.000 0.000 0.000
V1 V 0.500 0.500 0.000
Os1 Os 0.000 0.500 0.500
# ΔH_f (0 K) = -0.200 eV per atom
# electronic total energy = -11.058 eV/atom

---

# TaVOs2 (PBE, relaxed)
data_TaVOs2
_cell_length_a 5.526
_cell_length_b 5.526
_cell_length_c 11.686
_cell_angle_alpha 90.00
_cell_angle_beta 90.00
_cell_angle_gamma 90.00
_symmetry_space_group_name_H-M 'I -4 2 d'
_symmetry_Int_Tables_number 122
_symmetry_space_group_name_Hall 'I -4 2bw'
loop_
_atom_site_label
_atom_site_type_symbol
_atom_site_fract_x
_atom_site_fract_y
_atom_site_fract_z
Ta1 Ta 0.000 0.000 0.000
V1 V 0.000 0.000 0.500
Os1 Os 0.223 0.250 0.625
# ΔH_f (0 K) = 1.315 eV per atom
# electronic total energy = -9.542 eV/atom

---

# Ta3V8Os (PBE, relaxed)
data_Ta3V8Os
_cell_length_a 5.0060
_cell_length_b 5.0060
_cell_length_c 24.4070
_cell_angle_alpha 90.00
_cell_angle_beta 90.00
_cell_angle_gamma 120.00
_symmetry_space_group_name_H-M 'R 3 m'
_symmetry_Int_Tables_number 160
_symmetry_space_group_name_Hall 'R 3 -2"'
loop_
_atom_site_label
_atom_site_type_symbol
_atom_site_fract_x
_atom_site_fract_y
_atom_site_fract_z
Ta1 Ta 0.0000 0.0000 0.0000
Ta2 Ta 0.0000 0.0000 0.1253
Ta3 Ta 0.0000 0.0000 0.6246
V1 V 0.0000 0.0000 0.3117
V2 V 0.0000 0.0000 0.8130
V3 V 0.0005 0.5002 0.0637
V4 V 0.9997 0.4998 0.5612
Os1 Os 0.0000 0.0000 0.4999
# ΔH_f (0 K) = -0.144 eV per atom
# electronic total energy = -10.122 eV/atom

---

# Ta2VOs (PBE, relaxed)
data_Ta2VOs
_cell_length_a 7.174
_cell_length_b 7.174
_cell_length_c 5.439
_cell_angle_alpha 90.00
_cell_angle_beta 90.00
_cell_angle_gamma 90.00
_symmetry_space_group_name_H-M 'I -4 2 d'
_symmetry_Int_Tables_number 122
_symmetry_space_group_name_Hall 'I -4 2bw'
loop_
_atom_site_label
_atom_site_type_symbol
_atom_site_fract_x
_atom_site_fract_y
_atom_site_fract_z
Ta1 Ta 0.237 0.250 0.125
V1 V 0.000 0.000 0.500
Os1 Os 0.000 0.000 0.000
# ΔH_f (0 K) = 0.534 eV per atom
# electronic total energy = -10.479 eV/atom
# energy above the lowest structure with this stoichiometry = 3.447 eV per formula unit

---

# Ta2V3Os (PBE, relaxed)
data_Ta2V3Os
_cell_length_a 5.0571
_cell_length_b 5.0571
_cell_length_c 12.4673
_cell_angle_alpha 90.00
_cell_angle_beta 90.00
_cell_angle_gamma 120.00
_symmetry_space_group_name_H-M 'R -3 m'
_symmetry_Int_Tables_number 166
_symmetry_space_group_name_Hall '-R 3 2"'
loop_
_atom_site_label
_atom_site_type_symbol
_atom_site_fract_x
_atom_site_fract_y
_atom_site_fract_z
Ta1 Ta 0.0000 0.0000 0.1259
V1 V 0.0000 0.5000 0.0000
Os1 Os 0.0000 0.0000 0.5000
# ΔH_f (0 K) = -0.321 eV per atom
# electronic total energy = -10.702 eV/atom

---

# Ta3VOs2 (PBE, relaxed)
data_Ta3VOs2
_cell_length_a 4.486
_cell_length_b 13.441
_cell_length_c 6.366
_cell_angle_alpha 90.00
_cell_angle_beta 90.00
_cell_angle_gamma 90.00
_symmetry_space_group_name_H-M 'C m m m'
_symmetry_Int_Tables_number 65
_symmetry_space_group_name_Hall '-C 2 2'
loop_
_atom_site_label
_atom_site_type_symbol
_atom_site_fract_x
_atom_site_fract_y
_atom_site_fract_z
Ta1 Ta 0.000 0.000 0.244
Ta2 Ta 0.000 0.331 0.244
V1 V 0.000 0.166 0.000
Os1 Os 0.000 0.166 0.500
Os2 Os 0.000 0.500 0.000
Os3 Os 0.000 0.500 0.500
# ΔH_f (0 K) = -0.335 eV per atom
# electronic total energy = -11.524 eV/atom
# energy above the lowest structure with this stoichiometry = 0.000 eV per formula unit

---

# TaVZnOs (PBE, relaxed)
data_TaVZnOs
_cell_length_a 6.233
_cell_length_b 6.233
_cell_length_c 6.233
_cell_angle_alpha 90.00
_cell_angle_beta 90.00
_cell_angle_gamma 90.00
_symmetry_space_group_name_H-M 'F -4 3 m'
_symmetry_Int_Tables_number 216
_symmetry_space_group_name_Hall 'F -4 2 3'
loop_
_atom_site_label
_atom_site_type_symbol
_atom_site_fract_x
_atom_site_fract_y
_atom_site_fract_z
Ta1 Ta 0.000 0.000 0.000
V1 V 0.250 0.250 0.250
Zn1 Zn 0.000 0.000 0.500
Os1 Os 0.250 0.250 0.750
# ΔH_f (0 K) = -0.083 eV per atom
# electronic total energy = -8.452 eV/atom

---

# ZrTaVOs (PBE, relaxed)
data_ZrTaVOs
_cell_length_a 6.455
_cell_length_b 6.455
_cell_length_c 6.455
_cell_angle_alpha 90.00
_cell_angle_beta 90.00
_cell_angle_gamma 90.00
_symmetry_space_group_name_H-M 'F -4 3 m'
_symmetry_Int_Tables_number 216
_symmetry_space_group_name_Hall 'F -4 2 3'
loop_
_atom_site_label
_atom_site_type_symbol
_atom_site_fract_x
_atom_site_fract_y
_atom_site_fract_z
Zr1 Zr 0.000 0.000 0.000
Ta1 Ta 0.000 0.000 0.500
V1 V 0.250 0.250 0.750
Os1 Os 0.250 0.250 0.250
# ΔH_f (0 K) = -0.231 eV per atom
# electronic total energy = -10.418 eV/atom